1.
Entry from the Alexandria database: a geometry-optimized CePm6Se8 structure (PBE-GGA).

## Properties
Energy relative to the elements, uncorrected in meV per atom: -1856
SG: Fm-3m (225)

Cell lengths 8.375, 8.375, 8.375 Å; angles 60.00, 60.00, 60.00 degrees
Fractional coordinates of all 15 atoms:
1 Ce 0.000 0.000 0.000
2 Pm 0.000 0.000 0.500
3 Pm 0.000 0.500 0.000
4 Pm 0.000 0.500 0.500
5 Pm 0.500 0.000 0.000
6 Pm 0.500 0.000 0.500
7 Pm 0.500 0.500 0.000
8 Se 0.250 0.250 0.250
9 Se 0.254 0.254 0.746
10 Se 0.254 0.746 0.254
11 Se 0.254 0.746 0.746
12 Se 0.746 0.254 0.254
13 Se 0.746 0.254 0.746
14 Se 0.746 0.746 0.254
15 Se 0.750 0.750 0.750

2.
Entry from the Alexandria database: a geometry-optimized KBe2TeSe structure (PBE-GGA).

## Properties
Energy relative to the elements, uncorrected in meV per atom: 501
SG: P4/mmm (123)

Cell lengths 4.720, 4.720, 6.190 Å; angles 90.00, 90.00, 90.00 degrees
Fractional coordinates of all 5 atoms:
1 K 0.000 0.000 0.000
2 Be 0.000 0.500 0.500
3 Be 0.500 0.000 0.500
4 Te 0.500 0.500 0.000
5 Se 0.500 0.500 0.500

3.
Entry from the Alexandria database: a geometry-optimized KYC structure (PBE-GGA).

## Properties
Energy of formation in kJ per mole of atoms: 19.4
SG: Pmm2 (25)
E above lowest polymorph in meV per atom: 267.4

Cell lengths 4.553, 5.763, 7.106 Å; angles 90.00, 90.00, 90.00 degrees
Fractional coordinates of all 6 atoms:
1 K 0.000 0.000 0.000
2 K 0.500 0.500 0.086
3 Y 0.000 0.500 0.542
4 Y 0.500 0.000 0.516
5 C 0.000 0.118 0.421
6 C 0.000 0.882 0.421

4.
Entry from the Alexandria database: a geometry-optimized Sm2HoV structure (PBE-GGA).

## Properties
Energy of formation in kJ per mole of atoms: 59.8
SG: R-3m (166)

Cell lengths 3.410, 3.410, 34.616 Å; angles 90.00, 90.00, 120.00 degrees
Fractional coordinates of all 12 atoms:
1 Sm 0.000 0.000 0.082
2 Sm 0.000 0.000 0.918
3 Sm 0.333 0.667 0.585
4 Sm 0.333 0.667 0.748
5 Sm 0.667 0.333 0.252
6 Sm 0.667 0.333 0.415
7 Ho 0.000 0.000 0.500
8 Ho 0.333 0.667 0.167
9 Ho 0.667 0.333 0.833
10 V 0.000 0.000 0.000
11 V 0.333 0.667 0.667
12 V 0.667 0.333 0.333

5.
Entry from the Alexandria database: a geometry-optimized Ho7Tl2Cd structure (PBE-GGA).

## Properties
Energy of formation in kJ per mole of atoms: -3.0
SG: P3m1 (156)

Cell lengths 5.248, 5.248, 12.750 Å; angles 90.00, 90.00, 120.00 degrees
Fractional coordinates of all 10 atoms:
1 Ho 0.000 0.000 0.000
2 Ho 0.000 0.000 0.260
3 Ho 0.000 0.000 0.736
4 Ho 0.333 0.667 0.409
5 Ho 0.333 0.667 0.880
6 Ho 0.667 0.333 0.130
7 Ho 0.667 0.333 0.581
8 Tl 0.000 0.000 0.499
9 Tl 0.667 0.333 0.846
10 Cd 0.333 0.667 0.142

6.
Entry from the Alexandria database: a geometry-optimized LiLa2TcPb structure (PBE-GGA).

## Properties
Energy of formation in kJ per mole of atoms: 0.8
SG: P4/mmm (123)
E above lowest polymorph in meV per atom: 0.0

Cell lengths 5.268, 5.268, 5.063 Å; angles 90.00, 90.00, 90.00 degrees
Fractional coordinates of all 5 atoms:
1 Li 0.000 0.000 0.000
2 La 0.000 0.500 0.500
3 La 0.500 0.000 0.500
4 Tc 0.000 0.000 0.500
5 Pb 0.500 0.500 0.000

7.
Entry from the Alexandria database: a geometry-optimized Ba2YRe structure (PBE-GGA).

## Properties
Energy of formation in kJ per mole of atoms: 109.0
SG: C2/m (12)
E above lowest polymorph in meV per atom: 574.1

Cell lengths 6.481, 11.393, 3.315 Å; angles 90.00, 92.91, 90.00 degrees
Fractional coordinates of all 8 atoms:
1 Ba 0.250 0.250 0.000
2 Ba 0.250 0.750 0.000
3 Ba 0.750 0.250 0.000
4 Ba 0.750 0.750 0.000
5 Y 0.000 0.000 0.500
6 Y 0.500 0.500 0.500
7 Re 0.000 0.500 0.500
8 Re 0.500 0.000 0.500

8.
Entry from the Alexandria database: a geometry-optimized TlCdRe2F structure (PBE-GGA).

## Properties
Energy relative to the elements, uncorrected in meV per atom: 2100
SG: P4/mmm (123)

Cell lengths 5.165, 5.165, 6.242 Å; angles 90.00, 90.00, 90.00 degrees
Fractional coordinates of all 5 atoms:
1 Tl 0.000 0.000 0.000
2 Cd 0.000 0.000 0.500
3 Re 0.000 0.500 0.500
4 Re 0.500 0.000 0.500
5 F 0.500 0.500 0.000

9.
Entry from the Alexandria database: a geometry-optimized MgGaIrRu structure (PBE-GGA).

## Properties
Energy of formation in kJ per mole of atoms: -27.4
SG: F-43m (216)

Cell lengths 6.138, 6.138, 6.138 Å; angles 90.00, 90.00, 90.00 degrees
Fractional coordinates of all 16 atoms:
1 Mg 0.000 0.000 0.000
2 Mg 0.000 0.500 0.500
3 Mg 0.500 0.000 0.500
4 Mg 0.500 0.500 0.000
5 Ga 0.000 0.000 0.500
6 Ga 0.000 0.500 0.000
7 Ga 0.500 0.000 0.000
8 Ga 0.500 0.500 0.500
9 Ir 0.250 0.250 0.750
10 Ir 0.250 0.750 0.250
11 Ir 0.750 0.250 0.250
12 Ir 0.750 0.750 0.750
13 Ru 0.250 0.250 0.250
14 Ru 0.250 0.750 0.750
15 Ru 0.750 0.250 0.750
16 Ru 0.750 0.750 0.250

10.
Entry from the Alexandria database: a geometry-optimized Pr2YTlN structure (PBE-GGA).

## Properties
Energy relative to the elements, uncorrected in meV per atom: -830
SG: P4/mmm (123)

Cell lengths 5.099, 5.099, 4.834 Å; angles 90.00, 90.00, 90.00 degrees
Fractional coordinates of all 5 atoms:
1 Pr 0.000 0.500 0.000
2 Pr 0.500 0.000 0.000
3 Y 0.000 0.000 0.500
4 Tl 0.500 0.500 0.500
5 N 0.000 0.000 0.000

11.
Entry from the Alexandria database: a geometry-optimized Mg6PdAu structure (PBE-GGA).

## Properties
Energy of formation in kJ per mole of atoms: -18.3
SG: C2/m (12)
E above lowest polymorph in meV per atom: 166.3

Cell lengths 6.155, 10.315, 6.181 Å; angles 90.00, 113.54, 90.00 degrees
Fractional coordinates of all 16 atoms:
1 Mg 0.244 0.199 0.244
2 Mg 0.244 0.801 0.244
3 Mg 0.246 0.000 0.754
4 Mg 0.254 0.500 0.246
5 Mg 0.256 0.301 0.756
6 Mg 0.256 0.699 0.756
7 Mg 0.744 0.301 0.244
8 Mg 0.744 0.699 0.244
9 Mg 0.746 0.500 0.754
10 Mg 0.754 0.000 0.246
11 Mg 0.756 0.199 0.756
12 Mg 0.756 0.801 0.756
13 Pd 0.000 0.000 0.000
14 Pd 0.500 0.500 0.000
15 Au 0.000 0.500 0.500
16 Au 0.500 0.000 0.500

12.
Entry from the Alexandria database: a geometry-optimized Nd5Sm3Ho2 structure (PBE-GGA).

## Properties
Energy of formation in kJ per mole of atoms: 16.9
SG: C2/c (15)
E above lowest polymorph in meV per atom: 127.4

Cell lengths 9.229, 9.229, 10.087 Å; angles 108.31, 108.31, 108.15 degrees
Fractional coordinates of all 20 atoms:
1 Nd 0.021 0.979 0.750
2 Nd 0.134 0.380 0.760
3 Nd 0.230 0.770 0.750
4 Nd 0.272 0.728 0.250
5 Nd 0.380 0.134 0.260
6 Nd 0.620 0.866 0.740
7 Nd 0.728 0.272 0.750
8 Nd 0.770 0.230 0.250
9 Nd 0.866 0.620 0.240
10 Nd 0.979 0.021 0.250
11 Sm 0.026 0.277 0.057
12 Sm 0.277 0.026 0.557
13 Sm 0.478 0.522 0.250
14 Sm 0.522 0.478 0.750
15 Sm 0.723 0.974 0.443
16 Sm 0.974 0.723 0.943
17 Ho 0.221 0.468 0.444
18 Ho 0.468 0.221 0.944
19 Ho 0.532 0.779 0.056
20 Ho 0.779 0.532 0.556

no.,volume (A^3/atom)
1,27.7
2,27.6
3,31.1
4,29.0
5,30.4
6,28.1
7,30.6
8,33.3
9,14.5
10,25.1
11,22.5
12,34.5